A plane-wave DFT calculation with GGA+U was carried out for a relaxed LiCoO2F crystal.

Structure (CIF):
```
data_LiCoO2F
_chemical_formula_sum 'Li1 Co1 O2 F1'
_symmetry_space_group_name_H-M 'P 4/m m m'
_symmetry_Int_Tables_number 123
_symmetry_space_group_name_Hall '-P 4 2'
_cell_length_a 3.6056
_cell_length_b 3.6056
_cell_length_c 4.2516
_cell_angle_alpha 90.00
_cell_angle_beta 90.00
_cell_angle_gamma 90.00
loop_
_atom_site_label
_atom_site_fract_x
_atom_site_fract_y
_atom_site_fract_z
Li1 0.0000 0.0000 0.0000
Co1 0.5000 0.5000 0.5000
O1 0.0000 0.5000 0.5000
F1 0.5000 0.5000 0.0000
```

Results
ρ, Mg/m³: 3.511
Final energy, eV/atom: -5.01
Magnetization, μB/cell: 3.55